1.
VASP calculation (PBE) on a relaxed RbC4O2 crystal.

The space group is I4/mmm (No. 139) and the conventional cell measures 5.441, 5.441 and 9.574 Å, with angles of 90.00, 90.00 and 90.00 degrees. The inequivalent atoms are Rb at (0.000, 0.000, 0.000), C at (0.000, 0.000, 0.431), C at (0.000, 0.500, 0.000) and O at (0.000, 0.000, 0.306).

Its electronic total energy is -5.232 eV/atom.

=====

2.
VASP calculation (PBE) on a relaxed LaSn2H crystal.

The space group is I-42d (No. 122) and the conventional cell measures 6.227, 6.227 and 12.578 Å, with angles of 90.00, 90.00 and 90.00 degrees. The inequivalent atoms are La at (0.000, 0.000, 0.000), Sn at (0.005, 0.250, 0.625) and H at (0.000, 0.000, 0.500).

The calculation puts the energy above the most stable polymorph in this dataset at 0.00 eV per formula unit.

=====

3.
VASP calculation (PBE) on a relaxed Ba2HgSb crystal.

The space group is Pmm2 (No. 25) and the conventional cell measures 4.578, 5.759 and 5.758 Å, with angles of 90.00, 90.00 and 90.00 degrees. The inequivalent atoms are Ba at (0.000, 0.000, 0.000), Ba at (0.000, 0.500, 0.499), Hg at (0.500, 0.000, 0.500) and Sb at (0.500, 0.500, 0.999).

The calculation puts the energy above the most stable polymorph in this dataset at 0.03 eV per formula unit.

=====

4.
VASP calculation (PBE) on a relaxed SiHAu crystal.

The space group is Pm (No. 6) and the conventional cell measures 2.793, 4.168 and 4.201 Å, with angles of 90.00, 91.42 and 90.00 degrees. The inequivalent atoms are Si at (0.000, 0.000, 0.000), H at (0.014, 0.000, 0.359) and Au at (0.496, 0.500, 0.890).

The calculation puts the energy above the most stable polymorph in this dataset at 0.06 eV per formula unit.

=====

5.
VASP calculation (PBE) on a relaxed KNa3Pb crystal.

The space group is Pm-3m (No. 221) and the conventional cell measures 5.936, 5.936 and 5.936 Å, with angles of 90.00, 90.00 and 90.00 degrees. The inequivalent atoms are K at (0.000, 0.000, 0.000), Na at (0.000, 0.000, 0.500) and Pb at (0.500, 0.500, 0.500).

The calculation puts the energy above the most stable polymorph in this dataset at 3.10 eV per formula unit. The formation energy from the elements comes out at 0.50 eV per atom.

=====

6.
VASP calculation (PBE) on a relaxed Sr3Cl2O2 crystal.

The space group is C2/m (No. 12) and the conventional cell measures 13.988, 4.069 and 7.089 Å, with angles of 90.00, 118.39 and 90.00 degrees. The inequivalent atoms are Sr at (0.000, 0.000, 0.000), Sr at (0.224, 0.000, 0.676), Cl at (0.094, 0.500, 0.822) and O at (0.177, 0.000, 0.305).

The calculation puts the energy above the most stable polymorph in this dataset at 0.00 eV per formula unit.

=====

7.
VASP calculation (PBE) on a relaxed AcPm5Sm4 crystal.

The space group is I4 (No. 79) and the conventional cell measures 10.459, 10.459 and 6.516 Å, with angles of 90.00, 90.00 and 90.00 degrees. The inequivalent atoms are Ac at (0.000, 0.000, 0.000), Pm at (0.000, 0.000, 0.468), Pm at (0.154, 0.764, 0.710) and Sm at (0.051, 0.648, 0.224).

The calculation puts the energy above the most stable polymorph in this dataset at 2.62 eV per formula unit. The formation energy from the elements comes out at 0.29 eV per atom.

=====

8.
VASP calculation (PBE) on a relaxed Pm2HoCdHg4 crystal.

The space group is R-3m (No. 166, hexagonal axes) and the conventional cell measures 5.2078, 5.2078 and 26.3243 Å, with angles of 90.00, 90.00 and 120.00 degrees. The inequivalent atoms are Pm at (0.0000, 0.0000, 0.2421), Ho at (0.0000, 0.0000, 0.0000), Cd at (0.0000, 0.0000, 0.5000), Hg at (0.0000, 0.0000, 0.1214) and Hg at (0.0000, 0.0000, 0.3677).

The formation energy from the elements comes out at -0.45 eV per atom.